# 1
Entry from Alexandria via LeMat-Bulk: K3VSO3 after structural relaxation (PBE+U).

Computed properties:
As for the space group: P2_1/m, No. 11. As for the raw total energy: -5.47 eV per atom. Its crystal system is monoclinic. The value obtained for the total magnetic moment is 0.00 μB per formula unit.

```
K3VSO3
1.0
-4.580 -2.649 -2.831
0.126 -5.060 4.530
-5.518 2.786 6.319
K V S O
6 2 2 6
direct
0.750 0.692 0.471
0.250 0.232 0.995
0.250 0.308 0.529
0.750 0.768 0.005
0.250 0.768 0.724
0.750 0.232 0.276
0.750 0.298 0.789
0.250 0.702 0.211
0.750 0.053 0.654
0.250 0.947 0.346
0.250 0.811 0.015
0.750 0.189 0.985
0.984 0.446 0.738
0.016 0.554 0.262
0.516 0.446 0.738
0.484 0.554 0.262
```

# 2
Entry from Alexandria via LeMat-Bulk: KV2SO8 after structural relaxation (PBE+U).

Computed properties:
As for the space group: C2/m, No. 12. As for the raw total energy: -6.35 eV per atom. Its crystal system is monoclinic. The value obtained for the total magnetic moment is 1.00 μB per formula unit.

```
KV2SO8
1.0
-0.264 -4.136 2.473
4.197 -1.579 2.517
-0.537 1.622 7.365
K V S O
1 2 1 8
direct
0.500 0.500 0.500
0.322 0.236 0.119
0.678 0.764 0.881
0.000 0.000 0.000
0.810 0.717 0.663
0.795 0.352 0.059
0.190 0.283 0.337
0.205 0.648 0.941
0.731 0.884 0.160
0.269 0.116 0.840
0.225 0.884 0.160
0.775 0.116 0.840
```

# 3
Entry from Alexandria via LeMat-Bulk: KVS2O9 after structural relaxation (PBE+U).

Computed properties:
As for the space group: P2_12_12_1, No. 19. As for the raw total energy: -6.31 eV per atom. Its crystal system is orthorhombic. The value obtained for the total magnetic moment is 0.00 μB per formula unit.

```
KVS2O9
1.0
4.998 0.000 0.000
0.000 9.005 0.000
0.000 0.000 16.893
K V S O
4 4 8 36
direct
0.272 0.073 0.054
0.728 0.573 0.446
0.228 0.927 0.554
0.772 0.427 0.946
0.757 0.347 0.697
0.743 0.653 0.197
0.257 0.153 0.303
0.243 0.847 0.803
0.260 0.380 0.577
0.749 0.748 0.692
0.740 0.880 0.923
0.751 0.252 0.192
0.251 0.248 0.808
0.240 0.620 0.077
0.760 0.120 0.423
0.249 0.752 0.308
0.784 0.981 0.989
0.256 0.105 0.768
0.756 0.723 0.939
0.216 0.481 0.511
0.060 0.424 0.643
0.529 0.424 0.613
0.204 0.752 0.393
0.971 0.576 0.113
0.244 0.223 0.561
0.296 0.248 0.893
0.704 0.748 0.607
0.741 0.823 0.170
0.244 0.895 0.268
0.960 0.149 0.230
0.284 0.519 0.011
0.015 0.828 0.706
0.485 0.172 0.206
0.716 0.019 0.489
0.256 0.777 0.061
0.985 0.328 0.794
0.241 0.677 0.830
0.471 0.924 0.887
0.040 0.649 0.270
0.560 0.076 0.357
0.540 0.851 0.730
0.440 0.576 0.143
0.756 0.395 0.232
0.744 0.605 0.732
0.259 0.323 0.330
0.515 0.672 0.294
0.796 0.252 0.107
0.940 0.924 0.857
0.029 0.076 0.387
0.460 0.351 0.770
0.744 0.277 0.439
0.759 0.177 0.670
```

# 4
Entry from Alexandria via LeMat-Bulk: K4WS3O14 after structural relaxation (PBE+U).

Computed properties:
As for the space group: P2_1/c, No. 14. As for the raw total energy: -6.04 eV per atom. Its crystal system is monoclinic. The value obtained for the total magnetic moment is 0.11 μB per formula unit.

```
K4WS3O14
1.0
9.659 0.008 0.000
-0.213 10.480 0.000
0.000 0.000 14.286
K W S O
16 4 12 56
direct
0.504 0.203 0.497
0.178 0.172 0.328
0.750 0.228 0.218
0.750 0.272 0.718
0.797 0.528 0.453
0.996 0.297 0.997
0.703 0.972 0.953
0.250 0.772 0.782
0.297 0.028 0.047
0.203 0.472 0.547
0.250 0.728 0.282
0.322 0.328 0.828
0.678 0.672 0.172
0.496 0.797 0.503
0.004 0.703 0.003
0.822 0.828 0.672
0.336 0.415 0.124
0.836 0.915 0.376
0.164 0.085 0.624
0.664 0.585 0.876
0.979 0.954 0.156
0.912 0.205 0.497
0.976 0.521 0.781
0.521 0.546 0.656
0.412 0.705 0.003
0.588 0.295 0.997
0.524 0.979 0.281
0.021 0.046 0.844
0.024 0.479 0.219
0.088 0.795 0.503
0.479 0.454 0.344
0.476 0.021 0.719
0.018 0.550 0.306
0.766 0.900 0.491
0.095 0.883 0.586
0.050 0.013 0.740
0.501 0.423 0.608
0.359 0.381 0.382
0.394 0.622 0.654
0.933 0.527 0.144
0.859 0.881 0.118
0.482 0.950 0.806
0.704 0.737 0.830
0.008 0.340 0.230
0.007 0.310 0.475
0.950 0.987 0.260
0.492 0.160 0.730
0.982 0.450 0.694
0.734 0.600 0.991
0.726 0.253 0.024
0.226 0.753 0.476
0.106 0.878 0.154
0.067 0.473 0.856
0.966 0.127 0.581
0.993 0.690 0.525
0.992 0.660 0.770
0.234 0.100 0.509
0.001 0.923 0.892
0.774 0.247 0.524
0.595 0.383 0.914
0.322 0.993 0.681
0.507 0.810 0.025
0.550 0.513 0.760
0.678 0.007 0.319
0.822 0.493 0.819
0.999 0.077 0.108
0.499 0.577 0.392
0.204 0.237 0.670
0.274 0.747 0.976
0.296 0.263 0.170
0.034 0.873 0.419
0.796 0.763 0.330
0.433 0.027 0.356
0.266 0.400 0.009
0.641 0.619 0.618
0.450 0.487 0.240
0.905 0.117 0.414
0.518 0.050 0.194
0.466 0.627 0.919
0.894 0.122 0.846
0.508 0.840 0.270
0.606 0.378 0.346
0.534 0.373 0.081
0.493 0.190 0.975
0.405 0.617 0.086
0.178 0.507 0.181
0.567 0.973 0.644
0.141 0.119 0.882
```

Number 1: density of states at the Fermi level 0.00 states/eV/cell. Number 2: density of states at the Fermi level 2.20 states/eV/cell. Number 3: density of states at the Fermi level 0.00 states/eV/cell. Number 4: density of states at the Fermi level 0.00 states/eV/cell.